AcTb2Pm4Ho | PBE | relaxed

Summary:
energy of formation from the pure elements: 127 meV per atom
energy: -35.93 eV/cell
total magnetization: 0.000 μB per formula unit

abc: 6.000 6.012 7.676
angles: 90.00 90.00 90.00
Space group Pmmm (No. 47)
Unique sites:
Ac1 0.000 0.000 0.000 x1
Tb1 0.000 0.000 0.500 x1
Tb2 0.500 0.500 0.000 x1
Pm1 0.000 0.500 0.268 x2
Pm2 0.500 0.000 0.268 x2
Ho1 0.500 0.500 0.500 x1

TaCu2PtRh | PBE | relaxed

Summary:
energy of formation from the pure elements: 1117 meV per atom
energy: -27.85 eV/cell
total magnetization: 0.352 μB per formula unit

abc: 4.575 4.575 4.808
angles: 90.00 90.00 90.00
Space group P4/mmm (No. 123)
Unique sites:
Ta1 0.000 0.000 0.000 x1
Cu1 0.000 0.500 0.500 x2
Pt1 0.000 0.000 0.500 x1
Rh1 0.500 0.500 0.000 x1

SrTb4HoS8 | PBE | relaxed

Summary:
uncorrected formation energy: -1995.1 meV per atom
energy: -257.19 eV/cell
total magnetization: 0.000 μB per formula unit

abc: 8.1883 8.1883 19.9972
angles: 90.00 90.00 120.00
Space group R3m (No. 160, hexagonal axes)
Unique sites:
Sr1 0.0000 0.0000 0.0000 x3
Tb1 0.0000 0.0000 0.2496 x3
Tb2 0.1691 0.3382 0.4575 x9
Ho1 0.0000 0.0000 0.6266 x3
S1 0.0000 0.0000 0.3822 x3
S2 0.0000 0.0000 0.8609 x3
S3 0.0384 0.5192 0.3786 x9
S4 0.1776 0.3552 0.2062 x9

LaZrPb2 | PBE | relaxed

Summary:
energy of formation from the pure elements: -238 meV per atom
energy: -21.85 eV/cell
total magnetization: 0.000 μB per formula unit

abc: 4.574 4.758 5.124
angles: 90.00 90.00 90.00
Space group Pmmm (No. 47)
Unique sites:
La1 0.000 0.000 0.000 x1
Zr1 0.000 0.500 0.500 x1
Pb1 0.500 0.000 0.500 x1
Pb2 0.500 0.500 0.000 x1

Sr2Ca2Ir | PBE | relaxed

Summary:
energy of formation from the pure elements: -117 meV per atom
energy: -67.26 eV/cell
total magnetization: 0.000 μB per formula unit

abc: 5.153 5.153 27.670
angles: 90.00 90.00 90.00
Space group I4_1/amd (No. 141, origin choice 2)
Unique sites:
Sr1 0.000 0.250 0.060 x8
Ca1 0.000 0.250 0.183 x8
Ir1 0.000 0.250 0.375 x4

PmMnPd2 | PBE | relaxed

Summary:
energy of formation from the pure elements: -414 meV per atom
energy: -25.96 eV/cell
total magnetization: 3.690 μB per formula unit

abc: 4.385 4.385 3.898
angles: 90.00 90.00 90.00
Space group P4/mmm (No. 123)
Unique sites:
Pm1 0.000 0.000 0.000 x1
Mn1 0.500 0.500 0.000 x1
Pd1 0.000 0.500 0.500 x2